1.
# Tm4OsSe2

Tm4OsSe2 after structural relaxation (PBE, Alexandria via LeMat-Bulk).

a b c (Å): 3.827 6.748 13.907
angles (deg): 90.00 90.00 106.47
Fractional coordinates of all 14 atoms:
Tm1 0.799 0.598 0.367
Tm2 0.500 0.000 0.000
Tm3 0.799 0.598 0.133
Tm4 0.201 0.402 0.867
Tm5 0.948 0.896 0.750
Tm6 0.052 0.104 0.250
Tm7 0.201 0.402 0.633
Tm8 0.500 0.000 0.500
Se1 0.858 0.716 0.564
Se2 0.142 0.284 0.064
Se3 0.142 0.284 0.436
Se4 0.858 0.716 0.936
Os1 0.401 0.802 0.250
Os2 0.599 0.198 0.750

Summary:
symmetry	Cmcm, No. 63
formation energy (no corrections)	-1035	meV/atom


2.
# USi2Tc4

USi2Tc4 after structural relaxation (PBE, Alexandria via LeMat-Bulk).

a b c (Å): 4.025 4.103 7.123
angles (deg): 106.74 90.00 90.00
Last column: magnetic moment on the atom in μB.
Fractional coordinates of all 7 atoms:
Tc1 0.000 0.308 0.617  -0.04
Tc2 0.500 0.184 0.367  -0.11
Tc3 0.000 0.692 0.383  -0.04
Tc4 0.500 0.816 0.633  -0.11
Si1 0.500 0.586 0.171  -0.02
Si2 0.500 0.414 0.829  -0.02
U1 0.000 0.000 0.000  1.44

Summary:
symmetry	Cmmm, No. 65
formation energy (no corrections)	-398	meV/atom


3.
# Ba2VSiS6

Ba2VSiS6 after structural relaxation (PBE, Alexandria via LeMat-Bulk).

a b c (Å): 6.758 6.758 11.866
angles (deg): 73.45 73.45 60.00
Last column: magnetic moment on the atom in μB.
Fractional coordinates of all 20 atoms:
S1 0.282 0.799 0.120  -0.04
S2 0.385 0.855 0.375  -0.03
S3 0.201 0.718 0.880  -0.04
S4 0.615 0.615 0.625  -0.03
S5 0.385 0.385 0.375  -0.03
S6 0.718 0.201 0.880  -0.04
S7 0.799 0.282 0.120  -0.04
S8 0.799 0.799 0.120  -0.04
S9 0.615 0.145 0.625  -0.03
S10 0.855 0.385 0.375  -0.03
S11 0.201 0.201 0.880  -0.04
S12 0.145 0.615 0.625  -0.03
Ba1 0.294 0.294 0.119  0.00
Ba2 0.877 0.877 0.368  0.00
Ba3 0.706 0.706 0.881  0.00
Ba4 0.123 0.123 0.632  0.00
Si1 0.000 0.000 0.000  0.00
Si2 0.500 0.500 0.500  0.01
V1 0.413 0.413 0.761  1.13
V2 0.587 0.587 0.239  1.13

Summary:
symmetry	R-3m, No. 166
formation energy (no corrections)	-1166	meV/atom


4.
# NaSrGa4

NaSrGa4 after structural relaxation (PBE, Alexandria via LeMat-Bulk).

a b c (Å): 4.381 6.319 6.319
angles (deg): 92.38 69.71 69.71
Fractional coordinates of all 6 atoms:
Ga1 0.333 0.916 0.919
Ga2 0.667 0.581 0.584
Ga3 0.667 0.084 0.081
Ga4 0.333 0.419 0.416
Na1 0.000 0.000 0.500
Sr1 0.000 0.500 0.000

Summary:
symmetry	Immm, No. 71
formation energy	-28	kJ per mole of atoms


5.
# Tb3GdOs

Tb3GdOs after structural relaxation (PBE, Alexandria via LeMat-Bulk).

a b c (Å): 5.454 5.454 5.454
angles (deg): 90.00 90.00 90.00
Last column: magnetic moment on the atom in μB.
Fractional coordinates of all 5 atoms:
Tb1 0.500 0.000 0.000  0.06
Tb2 0.000 0.500 0.000  0.06
Tb3 0.000 0.000 0.500  0.06
Gd1 0.500 0.500 0.500  7.16
Os1 0.000 0.000 0.000  -0.02

Summary:
symmetry	Pm-3m, No. 221
formation energy	2	kJ per mole of atoms


6.
# Ce2US5

Ce2US5 after structural relaxation (PBE, Alexandria via LeMat-Bulk).

a b c (Å): 7.438 8.072 11.827
angles (deg): 90.00 90.00 90.00
Last column: magnetic moment on the atom in μB.
Fractional coordinates of all 32 atoms:
S1 0.544 0.750 0.999  -0.05
S2 0.306 0.250 0.285  -0.04
S3 0.335 0.750 0.312  -0.05
S4 0.694 0.750 0.715  -0.04
S5 0.044 0.250 0.501  -0.05
S6 0.806 0.750 0.215  -0.04
S7 0.165 0.750 0.812  -0.05
S8 0.836 0.458 0.905  -0.07
S9 0.336 0.958 0.595  -0.07
S10 0.164 0.958 0.095  -0.07
S11 0.194 0.250 0.785  -0.04
S12 0.956 0.750 0.499  -0.05
S13 0.456 0.250 0.001  -0.05
S14 0.664 0.458 0.405  -0.07
S15 0.835 0.250 0.188  -0.05
S16 0.664 0.042 0.405  -0.07
S17 0.336 0.542 0.595  -0.07
S18 0.164 0.542 0.095  -0.07
S19 0.665 0.250 0.688  -0.05
S20 0.836 0.042 0.905  -0.07
Ce1 0.028 0.999 0.323  0.91
Ce2 0.472 0.999 0.823  0.91
Ce3 0.528 0.001 0.177  0.91
Ce4 0.972 0.001 0.677  0.91
Ce5 0.472 0.501 0.823  0.91
Ce6 0.028 0.501 0.323  0.91
Ce7 0.528 0.499 0.177  0.91
Ce8 0.972 0.499 0.677  0.91
U1 0.428 0.250 0.508  2.04
U2 0.072 0.250 0.008  2.04
U3 0.928 0.750 0.992  2.04
U4 0.572 0.750 0.492  2.04

Summary:
symmetry	Pnma, No. 62
formation energy (no corrections)	-1820	meV/atom


7.
# KZr2Au

KZr2Au after structural relaxation (PBE, Alexandria via LeMat-Bulk).

a b c (Å): 3.144 5.309 5.784
angles (deg): 90.00 90.00 90.00
Fractional coordinates of all 4 atoms:
Au1 0.500 0.000 0.500
Zr1 0.000 0.000 0.000
Zr2 0.500 0.500 0.000
K1 0.000 0.500 0.500

Summary:
symmetry	Pmmm, No. 47
energy relative to the lowest polymorph listed for this composition	481.9	meV per atom
formation energy	43	kJ per mole of atoms


8.
# Y8Te4PS3

Y8Te4PS3 after structural relaxation (PBE, Alexandria via LeMat-Bulk).

a b c (Å): 8.195 8.444 8.195
angles (deg): 119.03 120.00 90.00
Fractional coordinates of all 16 atoms:
Te1 0.000 0.000 0.000
Te2 0.000 0.000 0.500
Te3 0.500 0.000 0.500
Te4 0.500 0.000 0.000
S1 0.500 0.500 0.000
S2 0.000 0.500 0.500
S3 0.500 0.500 0.500
Y1 0.767 0.295 0.029
Y2 0.265 0.296 0.531
Y3 0.738 0.705 0.971
Y4 0.233 0.704 0.467
Y5 0.233 0.705 0.971
Y6 0.767 0.296 0.533
Y7 0.735 0.704 0.469
Y8 0.262 0.295 0.029
P1 0.000 0.500 0.000

Summary:
symmetry	R-3m, No. 166
formation energy (no corrections)	-1658	meV/atom